DFT (PBE) results for a relaxed structure of KTc3Sb.

```
data_KTc3Sb
_cell_length_a 4.662
_cell_length_b 4.662
_cell_length_c 4.662
_cell_angle_alpha 90.00
_cell_angle_beta 90.00
_cell_angle_gamma 90.00
_space_group_name_H-M_alt 'P m -3 m'
_space_group_IT_number 221
_space_group_name_Hall '-P 4 2 3'
loop_
_atom_site_label
_atom_site_type_symbol
_atom_site_fract_x
_atom_site_fract_y
_atom_site_fract_z
K1 K 0.000 0.000 0.000
Tc1 Tc 0.000 0.000 0.500
Sb1 Sb 0.500 0.500 0.500
```

Values from the calculation:
E above lowest polymorph, eV per formula unit: 5.593
Uncorrected formation energy, eV per atom: 2.880

=====

DFT (PBE) results for a relaxed structure of PmSmSI.

```
data_PmSmSI
_cell_length_a 6.940
_cell_length_b 4.009
_cell_length_c 8.205
_cell_angle_alpha 90.00
_cell_angle_beta 106.31
_cell_angle_gamma 90.00
_space_group_name_H-M_alt 'C 1 m 1'
_space_group_IT_number 8
loop_
_space_group_symop_operation_xyz
'x,y,z'
'x,-y,z'
'x+1/2,y+1/2,z'
'x+1/2,-y+1/2,z'
loop_
_atom_site_label
_atom_site_type_symbol
_atom_site_fract_x
_atom_site_fract_y
_atom_site_fract_z
Pm1 Pm 0.000 0.000 0.000
Sm1 Sm 0.297 0.500 0.390
S1 S 0.399 0.000 0.196
I1 I 0.230 0.000 0.690
```

Values from the calculation:
Uncorrected formation energy, eV per atom: -1.434

=====

DFT (PBE) results for a relaxed structure of KLi2PF.

```
data_KLi2PF
_cell_length_a 4.317
_cell_length_b 4.317
_cell_length_c 4.977
_cell_angle_alpha 90.00
_cell_angle_beta 90.00
_cell_angle_gamma 90.00
_space_group_name_H-M_alt 'P 4/m m m'
_space_group_IT_number 123
_space_group_name_Hall '-P 4 2'
loop_
_atom_site_label
_atom_site_type_symbol
_atom_site_fract_x
_atom_site_fract_y
_atom_site_fract_z
K1 K 0.000 0.000 0.000
Li1 Li 0.000 0.500 0.500
P1 P 0.500 0.500 0.000
F1 F 0.000 0.000 0.500
```

Values from the calculation:
Uncorrected formation energy, eV per atom: -1.058

=====

DFT (PBE) results for a relaxed structure of Ce2PmUAs4.

```
data_Ce2PmUAs4
_cell_length_a 7.242
_cell_length_b 4.175
_cell_length_c 7.285
_cell_angle_alpha 90.00
_cell_angle_beta 109.26
_cell_angle_gamma 90.00
_space_group_name_H-M_alt 'P 1 2/m 1'
_space_group_IT_number 10
loop_
_space_group_symop_operation_xyz
'x,y,z'
'-x,-y,-z'
'-x,y,-z'
'x,-y,z'
loop_
_atom_site_label
_atom_site_type_symbol
_atom_site_fract_x
_atom_site_fract_y
_atom_site_fract_z
Ce1 Ce 0.000 0.000 0.000
Ce2 Ce 0.000 0.500 0.500
Pm1 Pm 0.500 0.000 0.500
U1 U 0.500 0.500 0.000
As1 As 0.252 0.500 0.244
As2 As 0.256 0.000 0.757
```

Values from the calculation:
Electronic total energy, eV/atom: -7.083

=====

DFT (PBE) results for a relaxed structure of PaTeHSe.

```
data_PaTeHSe
_cell_length_a 6.858
_cell_length_b 3.959
_cell_length_c 7.608
_cell_angle_alpha 90.00
_cell_angle_beta 107.59
_cell_angle_gamma 90.00
_space_group_name_H-M_alt 'C 1 m 1'
_space_group_IT_number 8
loop_
_space_group_symop_operation_xyz
'x,y,z'
'x,-y,z'
'x+1/2,y+1/2,z'
'x+1/2,-y+1/2,z'
loop_
_atom_site_label
_atom_site_type_symbol
_atom_site_fract_x
_atom_site_fract_y
_atom_site_fract_z
Pa1 Pa 0.000 0.000 0.000
Te1 Te 0.238 0.000 0.717
H1 H 0.162 0.500 0.987
Se1 Se 0.413 0.000 0.238
```

Values from the calculation:
Electronic total energy, eV/atom: -5.842

=====

DFT (PBE) results for a relaxed structure of BeCo2As.

```
data_BeCo2As
_cell_length_a 2.700
_cell_length_b 2.700
_cell_length_c 7.387
_cell_angle_alpha 90.00
_cell_angle_beta 90.00
_cell_angle_gamma 90.00
_space_group_name_H-M_alt 'P 4 m m'
_space_group_IT_number 99
loop_
_space_group_symop_operation_xyz
'x,y,z'
'-y,x,z'
'-x,-y,z'
'y,-x,z'
'-x,y,z'
'y,x,z'
'x,-y,z'
'-y,-x,z'
loop_
_atom_site_label
_atom_site_type_symbol
_atom_site_fract_x
_atom_site_fract_y
_atom_site_fract_z
Be1 Be 0.000 0.000 0.000
Co1 Co 0.000 0.000 0.361
Co2 Co 0.500 0.500 0.146
As1 As 0.500 0.500 0.573
```

Values from the calculation:
E above lowest polymorph, eV per formula unit: 1.230

=====

DFT (PBE) results for a relaxed structure of Cs3MnS.

```
data_Cs3MnS
_cell_length_a 5.641
_cell_length_b 5.641
_cell_length_c 5.641
_cell_angle_alpha 90.00
_cell_angle_beta 90.00
_cell_angle_gamma 90.00
_space_group_name_H-M_alt 'P m -3 m'
_space_group_IT_number 221
_space_group_name_Hall '-P 4 2 3'
loop_
_atom_site_label
_atom_site_type_symbol
_atom_site_fract_x
_atom_site_fract_y
_atom_site_fract_z
Cs1 Cs 0.000 0.000 0.500
Mn1 Mn 0.000 0.000 0.000
S1 S 0.500 0.500 0.500
```

Values from the calculation:
Uncorrected formation energy, eV per atom: 0.808

=====

DFT (PBE) results for a relaxed structure of ZnCuTe2.

```
data_ZnCuTe2
_cell_length_a 3.256
_cell_length_b 21.815
_cell_length_c 5.266
_cell_angle_alpha 90.00
_cell_angle_beta 90.00
_cell_angle_gamma 90.00
_space_group_name_H-M_alt 'C m c m'
_space_group_IT_number 63
_space_group_name_Hall '-C 2c 2'
loop_
_atom_site_label
_atom_site_type_symbol
_atom_site_fract_x
_atom_site_fract_y
_atom_site_fract_z
Zn1 Zn 0.000 0.184 0.250
Cu1 Cu 0.000 0.437 0.250
Te1 Te 0.000 0.316 0.250
Te2 Te 0.000 0.442 0.750
```

Values from the calculation:
E above lowest polymorph, eV per formula unit: 1.115
Uncorrected formation energy, eV per atom: 0.054